[1]
GGA-PBE CsKCa2Ag, relaxed; volume = 254 Å³/f.u.; energy relative to the elements = 65 meV per atom; crystal system = tetragonal; ρ = 2358 kg/m3; symmetry = P4/mmm (123)
1.0
6.072 0.000 0.000
0.000 6.072 0.000
0.000 0.000 6.875
Cs Ca K Ag
1 2 1 1
Direct
0.500 0.500 0.500
0.000 0.500 0.000
0.500 0.000 0.000
0.000 0.000 0.500
0.000 0.000 0.000

=====

[2]
GGA-PBE CsNaCa2Ag, relaxed; volume = 226 Å³/f.u.; energy relative to the elements = 49 meV per atom; crystal system = tetragonal; ρ = 2528 kg/m3; symmetry = P4/mmm (123)
1.0
5.984 0.000 0.000
0.000 5.984 0.000
0.000 0.000 6.310
Cs Na Ca Ag
1 1 2 1
Direct
0.500 0.500 0.500
0.000 0.000 0.500
0.000 0.500 0.000
0.500 0.000 0.000
0.000 0.000 0.000